## 1
First-principles (PBE-GGA) data for TbY2Sc3 after structural relaxation, as listed in Alexandria via LeMat-Bulk.

POSCAR file:
```
TbY2Sc3
1.0
6.302 0.000 0.000
-3.151 5.458 0.000
0.000 0.000 10.475
Tb Y Sc
2 4 6
direct
0.333 0.667 0.443 Tb
0.667 0.333 0.557 Tb
0.000 0.000 0.000 Y
0.000 0.000 0.500 Y
0.333 0.667 0.058 Y
0.667 0.333 0.942 Y
0.171 0.342 0.751 Sc
0.171 0.829 0.751 Sc
0.342 0.171 0.249 Sc
0.658 0.829 0.751 Sc
0.829 0.171 0.249 Sc
0.829 0.658 0.249 Sc
```

Results
Crystal system = trigonal
Density = 4.35 Mg/m³
Space-group type = P-3m1 (164)

---

## 2
First-principles (PBE-GGA) data for TbY2Sc3 after structural relaxation, as listed in Alexandria via LeMat-Bulk.

POSCAR file:
```
TbY2Sc3
1.0
-5.693 5.717 2.981
5.693 -5.717 2.981
5.693 5.717 -2.981
Tb Y Sc
2 4 6
direct
0.000 0.000 0.000 Tb
0.500 0.500 0.000 Tb
0.140 0.744 0.885 Y
0.360 0.244 0.604 Y
0.640 0.756 0.396 Y
0.860 0.256 0.115 Y
0.003 0.250 0.753 Sc
0.250 0.750 0.500 Sc
0.497 0.250 0.247 Sc
0.503 0.750 0.753 Sc
0.750 0.250 0.500 Sc
0.997 0.750 0.247 Sc
```

Results
Crystal system = orthorhombic
Density = 4.04 Mg/m³
Space-group type = Ibam (72)

---

The structure with the least stability is 2.